## Li3Fe3P4O16 (GGA+U)

Data for a geometry-optimized Li3Fe3P4O16 structure.

Values from the calculation:
- E above lowest polymorph: 0.0 meV/atom
- V: 943.7 Å³/cell
- Space-group type: P1, No. 1
- Magnetic moment: 14.9 μB/f.u.

```
Li3Fe3P4O16
1.0
8.072 0.000 0.000
0.025 8.873 0.000
0.036 1.183 13.175
Li Fe P O
9 9 12 48
Direct
0.000 0.000 0.000 Li
0.000 0.321 0.667 Li
0.005 0.669 0.330 Li
0.268 0.184 0.010 Li
0.273 0.853 0.339 Li
0.501 0.364 0.338 Li
0.502 0.018 0.674 Li
0.772 0.835 0.666 Li
0.774 0.489 0.998 Li
0.119 0.591 0.003 Fe
0.129 0.940 0.674 Fe
0.154 0.263 0.337 Fe
0.278 0.528 0.669 Fe
0.493 0.693 0.004 Fe
0.632 0.748 0.331 Fe
0.642 0.105 0.007 Fe
0.654 0.424 0.665 Fe
0.781 0.160 0.335 Fe
0.321 0.908 0.888 P
0.330 0.574 0.224 P
0.338 0.239 0.557 P
0.433 0.405 0.892 P
0.446 0.068 0.224 P
0.453 0.741 0.554 P
0.827 0.115 0.785 P
0.828 0.785 0.114 P
0.840 0.449 0.447 P
0.942 0.280 0.114 P
0.942 0.618 0.781 P
0.954 0.946 0.451 P
0.000 0.765 0.065 O
0.006 0.104 0.739 O
0.014 0.433 0.399 O
0.060 0.170 0.073 O
0.068 0.836 0.407 O
0.069 0.509 0.735 O
0.207 0.015 0.934 O
0.211 0.684 0.265 O
0.217 0.354 0.602 O
0.260 0.420 0.939 O
0.272 0.741 0.604 O
0.274 0.089 0.273 O
0.275 0.077 0.587 O
0.277 0.734 0.920 O
0.281 0.405 0.247 O
0.328 0.929 0.772 O
0.335 0.604 0.104 O
0.338 0.271 0.440 O
0.434 0.441 0.774 O
0.447 0.105 0.107 O
0.447 0.761 0.437 O
0.496 0.242 0.917 O
0.497 0.568 0.588 O
0.500 0.903 0.251 O
0.501 0.907 0.939 O
0.510 0.583 0.267 O
0.512 0.254 0.605 O
0.556 0.519 0.934 O
0.566 0.850 0.599 O
0.572 0.176 0.270 O
0.703 0.676 0.068 O
0.709 0.005 0.741 O
0.718 0.335 0.403 O
0.762 0.272 0.071 O
0.770 0.600 0.731 O
0.772 0.951 0.088 O
0.774 0.946 0.400 O
0.777 0.284 0.755 O
0.777 0.612 0.418 O
0.826 0.089 0.902 O
0.827 0.749 0.231 O
0.839 0.416 0.564 O
0.938 0.249 0.234 O
0.939 0.581 0.897 O
0.946 0.927 0.568 O
0.992 0.449 0.091 O
0.998 0.119 0.417 O
0.999 0.783 0.755 O
```